This record from the Alexandria database describes K2CrTcO6 after structural relaxation. The functional is PBE with a Hubbard U.

Results
Its total DFT energy (no corrections) is -131.01 eV for the cell shown. For the size of the total moment, the calculation gives 3.00 μB per formula unit. As for the space-group type: No. 166.

Cell lengths 9.9497, 9.9497, 9.9497 Å; angles 33.63, 33.63, 33.63 degrees
Sites, in units of the cell vectors:
K 0.1285 0.1285 0.1285
K 0.2833 0.2833 0.2833
K 0.7167 0.7167 0.7167
K 0.8715 0.8715 0.8715
Cr 0.4065 0.4065 0.4065
Cr 0.5935 0.5935 0.5935
Tc 0.0000 0.0000 0.0000
Tc 0.5000 0.5000 0.5000
O 0.1613 0.6050 0.6050
O 0.1964 0.1964 0.7226
O 0.1964 0.7226 0.1964
O 0.2774 0.8036 0.8036
O 0.3950 0.3950 0.8387
O 0.3950 0.8387 0.3950
O 0.6050 0.1613 0.6050
O 0.6050 0.6050 0.1613
O 0.7226 0.1964 0.1964
O 0.8036 0.2774 0.8036
O 0.8036 0.8036 0.2774
O 0.8387 0.3950 0.3950